# 1
A relaxed ZrCdCoBi crystal, computed with PBE.

Output
- Symmetry: F-43m, No. 216
- Crystal system: cubic
- Final energy: -4.8491 eV/atom

Cell lengths 4.833, 4.833, 4.833 Å; angles 60.00, 60.00, 60.00 degrees
Sites, in units of the cell vectors:
1 Bi 0.000 0.000 0.000
2 Cd 0.500 0.500 0.500
3 Co 0.750 0.750 0.750
4 Zr 0.250 0.250 0.250


# 2
A relaxed CsNbSeO crystal, computed with PBE.

Output
- Symmetry: P4/nmm, No. 129
- Crystal system: tetragonal
- Final energy: -5.6109 eV/atom

Cell lengths 4.427, 4.427, 10.465 Å; angles 90.00, 90.00, 90.00 degrees
Sites, in units of the cell vectors:
1 Cs 0.750 0.250 0.500
2 Cs 0.250 0.750 0.500
3 Nb 0.750 0.750 0.020
4 Nb 0.250 0.250 0.980
5 O 0.750 0.250 0.000
6 O 0.250 0.750 0.000
7 Se 0.750 0.750 0.253
8 Se 0.250 0.250 0.747


# 3
A relaxed Pm3Y2Er crystal, computed with PBE.

Output
- Symmetry: Cmcm, No. 63
- Crystal system: orthorhombic
- Final energy: -5.2922 eV/atom
- Energy relative to the elements: 0.00 eV per atom

Cell lengths 6.255, 6.255, 11.609 Å; angles 90.00, 90.00, 59.97 degrees
Sites, in units of the cell vectors:
1 Er 0.666 0.334 0.220
2 Er 0.334 0.666 0.720
3 Pm 0.334 0.335 0.470
4 Pm 0.665 0.666 0.470
5 Pm 0.000 0.000 0.470
6 Pm 0.335 0.334 0.970
7 Pm 0.666 0.665 0.970
8 Pm 0.000 0.000 0.970
9 Y 0.333 0.001 0.220
10 Y 0.999 0.667 0.220
11 Y 0.001 0.333 0.720
12 Y 0.667 0.999 0.720


# 4
A relaxed ZrNb2Ag crystal, computed with PBE.

Output
- Symmetry: F-43m, No. 216
- Crystal system: cubic
- Final energy: -7.7356 eV/atom
- Energy relative to the elements: 0.15 eV per atom

Cell lengths 4.747, 4.747, 4.747 Å; angles 60.00, 60.00, 60.00 degrees
Sites, in units of the cell vectors:
1 Ag 0.500 0.500 0.500
2 Nb 0.000 0.000 0.000
3 Nb 0.250 0.250 0.250
4 Zr 0.750 0.750 0.750


# 5
A relaxed HoScGe crystal, computed with PBE.

Output
- Symmetry: F-43m, No. 216
- Crystal system: cubic
- Final energy: -5.7137 eV/atom

Cell lengths 4.720, 4.720, 4.720 Å; angles 60.00, 60.00, 60.00 degrees
Sites, in units of the cell vectors:
1 Ge 0.000 0.000 0.000
2 Ho 0.250 0.250 0.250
3 Sc 0.750 0.750 0.750


# 6
A relaxed TbCS5 crystal, computed with PBE.

Output
- Symmetry: P1, No. 1
- Crystal system: triclinic
- Final energy: -5.2544 eV/atom

Cell lengths 4.924, 5.398, 7.433 Å; angles 74.43, 76.65, 76.86 degrees
Sites, in units of the cell vectors:
1 C 0.227 0.670 0.338
2 S 0.043 0.955 0.321
3 S 0.402 0.391 0.375
4 S 0.625 0.205 0.802
5 S 0.595 0.679 0.809
6 S 0.976 0.587 0.907
7 Tb 0.132 0.044 0.918